1.
YZrC2: optimized geometry, PBE-GGA.

Cell lengths 3.4414, 3.4414, 6.0500 Å; angles 73.48, 73.48, 60.00 degrees
Element x y z (fractional)
C1 0.2572 0.2572 0.2284
C2 0.7428 0.7428 0.7716
Zr1 0.0000 0.0000 0.0000
Y1 0.5000 0.5000 0.5000

ΔE_f: -388 meV/atom
calculated volume: 58.6 Å³ per cell

=====

2.
BaZnPRu: optimized geometry, PBE-GGA.

Cell lengths 4.0461, 4.0461, 11.8927 Å; angles 90.00, 90.00, 90.00 degrees
Element x y z (fractional)
Ru1 0.2500 0.7500 0.0000
Ru2 0.7500 0.2500 0.0000
Zn1 0.7500 0.2500 0.5000
Zn2 0.2500 0.7500 0.5000
Ba1 0.7500 0.7500 0.2465
Ba2 0.2500 0.2500 0.7535
P1 0.2500 0.2500 0.0990
P2 0.7500 0.7500 0.9010

ΔE_f: -609 meV/atom
calculated volume: 194.7 Å³ per cell

=====

3.
TmZn2Cu9: optimized geometry, PBE-GGA.

Cell lengths 4.9782, 4.9782, 8.3517 Å; angles 72.66, 72.66, 60.00 degrees
Element x y z (fractional)
Cu1 0.3338 0.3338 0.9985
Cu2 0.6662 0.6662 0.0015
Cu3 0.5000 0.5000 0.5000
Cu4 0.5888 0.0807 0.7417
Cu5 0.0807 0.5888 0.7417
Cu6 0.4112 0.4112 0.2583
Cu7 0.4112 0.9193 0.2583
Cu8 0.9193 0.4112 0.2583
Cu9 0.5888 0.5888 0.7417
Tm1 0.0000 0.0000 0.0000
Zn1 0.1458 0.1458 0.5627
Zn2 0.8542 0.8542 0.4373

ΔE_f: -90 meV/atom
calculated volume: 168.3 Å³ per cell

=====

4.
KIn2F: optimized geometry, PBE-GGA.

Cell lengths 5.4853, 5.4853, 5.4853 Å; angles 60.00, 60.00, 60.00 degrees
Element x y z (fractional)
In1 0.7500 0.7500 0.7500
In2 0.2500 0.2500 0.2500
K1 0.5000 0.5000 0.5000
F1 0.0000 0.0000 0.0000

ΔE_f (raw): -0.352 eV per atom
calculated volume: 116.7 Å³ per cell

=====

5.
Ac2SnPd6: optimized geometry, PBE-GGA.

Cell lengths 5.9784, 5.9771, 6.3924 Å; angles 78.04, 90.00, 120.01 degrees
Element x y z (fractional)
Pd1 0.1220 0.2441 0.3220
Pd2 0.8750 0.2789 0.6806
Pd3 0.8780 0.7559 0.6780
Pd4 0.5962 0.7211 0.3194
Pd5 0.1250 0.7211 0.3194
Pd6 0.4038 0.2789 0.6806
Sn1 0.0000 0.0000 0.0000
Ac1 0.3625 0.7249 0.8165
Ac2 0.6375 0.2751 0.1835

ΔE_f: -744 meV/atom
calculated volume: 192.1 Å³ per cell

=====

6.
Tb2PmPr3Tm6: optimized geometry, PBE-GGA.

Cell lengths 6.1993, 6.1993, 11.7173 Å; angles 95.04, 95.04, 119.98 degrees
Element x y z (fractional)
Tb1 0.6667 0.3333 0.0000
Tb2 0.3333 0.6667 0.0000
Tm1 0.9176 0.5840 0.7530
Tm2 0.0824 0.4160 0.2470
Tm3 0.4160 0.0824 0.2470
Tm4 0.7488 0.7488 0.2470
Tm5 0.5840 0.9176 0.7530
Tm6 0.2512 0.2512 0.7530
Pr1 0.8333 0.1667 0.5000
Pr2 0.1667 0.8333 0.5000
Pr3 0.5000 0.5000 0.5000
Pm1 0.0000 0.0000 0.0000

ΔE_f: 20 meV/atom
calculated volume: 384.0 Å³ per cell

=====

Values of electronic total energy, in order: -0.322; -0.187; -0.138; -0.091; -0.204; -0.168, all in hartree per atom.